DFT (PBE-GGA) results for a relaxed structure of AsSBr2O.

extended XYZ file:
```
5
Lattice="4.8083 0.0000 0.0000 0.0000 4.8083 0.0000 0.0000 0.0000 5.2432" Properties=species:S:1:pos:R:3 pbc="T T T"
As 0.0000 0.0000 0.0000
S 0.0000 0.0000 2.6216
Br 0.0000 2.4042 2.6216
Br 2.4042 0.0000 2.6216
O 2.4042 2.4042 0.0000
```

## Properties
Total energy, Ha/atom: -0.085
Energy above the lowest structure with this stoichiometry, eV/atom: 0.272
Space group: P4/mmm, No. 123